(1)
This record from Alexandria describes a geometry-optimized BaInGa structure. The functional is GGA-PBE. Values from VASP.

Structure (Quantum ESPRESSO input):
```
&SYSTEM
  ibrav = 0, nat = 12, ntyp = 3
/
ATOMIC_SPECIES
Ba 137.33 Ba.upf
In 114.82 In.upf
Ga 69.72 Ga.upf
CELL_PARAMETERS angstrom
6.686 0.000 0.000
0.000 4.553 0.000
0.000 0.000 13.223
ATOMIC_POSITIONS angstrom
Ba 0.858 1.138 1.994
Ba 2.484 3.415 8.606
Ba 4.201 1.138 4.618
Ba 5.827 3.415 11.229
In 1.034 1.138 6.192
In 2.309 3.415 12.804
In 4.377 1.138 0.420
In 5.652 3.415 7.031
Ga 0.513 3.415 4.565
Ga 2.830 1.138 11.177
Ga 3.856 3.415 2.047
Ga 6.173 1.138 8.658
```

Results
The calculation puts the density of states at the Fermi level at 9.06 states/eV per cell. Its crystal system is orthorhombic. For the total moment, the calculation gives 0.0 Bohr magnetons per cell. For the formation energy, the calculation gives -1.020 eV/f.u.

***

(2)
This record from Alexandria describes a geometry-optimized BaIn4Ga3 structure. The functional is GGA-PBE. Values from VASP.

Structure (Quantum ESPRESSO input):
```
&SYSTEM
  ibrav = 0, nat = 8, ntyp = 3
/
ATOMIC_SPECIES
Ba 137.33 Ba.upf
In 114.82 In.upf
Ga 69.72 Ga.upf
CELL_PARAMETERS angstrom
5.011 0.000 0.000
0.000 5.011 0.000
0.000 0.000 8.493
ATOMIC_POSITIONS angstrom
Ba 0.000 0.000 0.000
In 0.000 2.505 2.697
In 0.000 2.505 5.796
In 2.505 0.000 2.697
In 2.505 0.000 5.796
Ga 0.000 0.000 4.246
Ga 2.505 2.505 1.288
Ga 2.505 2.505 7.205
```

Results
The calculation puts the density of states at the Fermi level at 2.45 states/eV per cell. Its crystal system is tetragonal. For the total moment, the calculation gives 0.0 Bohr magnetons per cell. For the formation energy, the calculation gives -1.792 eV/f.u.

***

(3)
This record from Alexandria describes a geometry-optimized Ba8In3Ga2 structure. The functional is GGA-PBE. Values from VASP.

Structure (Quantum ESPRESSO input):
```
&SYSTEM
  ibrav = 0, nat = 13, ntyp = 3
/
ATOMIC_SPECIES
Ba 137.33 Ba.upf
In 114.82 In.upf
Ga 69.72 Ga.upf
CELL_PARAMETERS angstrom
5.890 -8.449 0.000
5.890 8.449 0.000
0.000 0.000 5.886
ATOMIC_POSITIONS angstrom
Ba 2.960 2.199 2.943
Ba 5.890 6.275 0.000
Ba 5.890 2.241 0.000
Ba 2.960 -2.199 2.943
Ba 8.819 2.199 2.943
Ba 5.890 -2.241 0.000
Ba 5.890 -6.275 0.000
Ba 8.819 -2.199 2.943
In 3.019 0.000 0.000
In 5.890 0.000 2.943
In 8.760 0.000 0.000
Ga 5.890 4.207 2.943
Ga 5.890 -4.207 2.943
```

Results
The calculation puts the density of states at the Fermi level at 13.97 states/eV per cell. Its crystal system is orthorhombic. For the total moment, the calculation gives 0.0 Bohr magnetons per cell. For the formation energy, the calculation gives -3.294 eV/f.u.

***

(4)
This record from Alexandria describes a geometry-optimized BaIn3Ga structure. The functional is GGA-PBE. Values from VASP.

Structure (Quantum ESPRESSO input):
```
&SYSTEM
  ibrav = 0, nat = 20, ntyp = 3
/
ATOMIC_SPECIES
Ba 137.33 Ba.upf
In 114.82 In.upf
Ga 69.72 Ga.upf
CELL_PARAMETERS angstrom
10.222 0.000 0.000
0.000 4.836 0.000
0.000 0.000 12.035
ATOMIC_POSITIONS angstrom
Ba 1.882 1.209 0.050
Ba 3.229 3.627 6.068
Ba 6.993 1.209 5.967
Ba 8.340 3.627 11.985
In 0.765 1.209 4.789
In 1.133 3.627 2.643
In 1.356 3.627 9.487
In 3.755 1.209 3.469
In 3.978 1.209 8.660
In 4.346 3.627 10.806
In 5.875 1.209 1.228
In 6.244 3.627 3.375
In 6.466 3.627 8.565
In 8.866 1.209 2.548
In 9.089 1.209 9.392
In 9.457 3.627 7.246
Ga 1.186 1.209 7.657
Ga 3.925 3.627 1.639
Ga 6.296 1.209 10.396
Ga 9.036 3.627 4.378
```

Results
The calculation puts the density of states at the Fermi level at 8.84 states/eV per cell. The calculation puts the distance to the lowest polymorph of the same formula at 0.50 eV per formula unit. Its crystal system is orthorhombic. For the total moment, the calculation gives 0.0 Bohr magnetons per cell. For the formation energy, the calculation gives -1.343 eV/f.u.

***

(5)
This record from Alexandria describes a geometry-optimized Ba3InGa2 structure. The functional is GGA-PBE. Values from VASP.

Structure (Quantum ESPRESSO input):
```
&SYSTEM
  ibrav = 0, nat = 24, ntyp = 3
/
ATOMIC_SPECIES
Ba 137.33 Ba.upf
In 114.82 In.upf
Ga 69.72 Ga.upf
CELL_PARAMETERS angstrom
7.951 0.000 0.000
0.000 11.524 0.000
-0.403 0.000 9.666
ATOMIC_POSITIONS angstrom
Ba 1.242 1.415 0.502
Ba 1.041 4.347 5.335
Ba 1.404 7.813 7.756
Ba 1.605 9.473 2.924
Ba 2.110 0.343 6.526
Ba 2.311 5.419 1.693
Ba 5.237 6.105 7.973
Ba 5.438 11.181 3.140
Ba 5.943 2.051 6.742
Ba 6.145 3.711 1.909
Ba 6.508 7.178 4.331
Ba 6.306 10.109 9.163
In 3.055 2.242 3.400
In 2.854 3.520 8.233
In 4.695 8.004 1.433
In 4.494 9.282 6.266
Ga 0.318 1.278 3.726
Ga 0.116 4.484 8.559
Ga 3.132 7.062 4.697
Ga 2.930 10.224 9.530
Ga 4.618 1.300 0.136
Ga 4.417 4.462 4.969
Ga 7.432 7.040 1.107
Ga 7.231 10.246 5.940
```

Results
The calculation puts the density of states at the Fermi level at 15.51 states/eV per cell. Its crystal system is monoclinic. For the total moment, the calculation gives 0.0 Bohr magnetons per cell. For the formation energy, the calculation gives -1.919 eV/f.u.

***

(6)
This record from Alexandria describes a geometry-optimized BaIn3Ga structure. The functional is GGA-PBE. Values from VASP.

Structure (Quantum ESPRESSO input):
```
&SYSTEM
  ibrav = 0, nat = 10, ntyp = 3
/
ATOMIC_SPECIES
Ba 137.33 Ba.upf
In 114.82 In.upf
Ga 69.72 Ga.upf
CELL_PARAMETERS angstrom
4.914 0.000 0.000
0.000 4.914 0.000
0.000 0.000 11.984
ATOMIC_POSITIONS angstrom
Ba 0.000 0.000 0.000
Ba 2.457 2.457 5.992
In 0.000 0.000 7.338
In 0.000 2.457 3.086
In 0.000 2.457 9.078
In 2.457 0.000 3.086
In 2.457 0.000 9.078
In 2.457 2.457 1.346
Ga 0.000 0.000 4.592
Ga 2.457 2.457 10.583
```

Results
The calculation puts the density of states at the Fermi level at 3.19 states/eV per cell. The calculation puts the distance to the lowest polymorph of the same formula at 0.00 eV per formula unit. Its crystal system is tetragonal. For the total moment, the calculation gives 0.0 Bohr magnetons per cell. For the formation energy, the calculation gives -1.841 eV/f.u.

***

(7)
This record from Alexandria describes a geometry-optimized BaInGa2 structure. The functional is GGA-PBE. Values from VASP.

Structure (Quantum ESPRESSO input):
```
&SYSTEM
  ibrav = 0, nat = 16, ntyp = 3
/
ATOMIC_SPECIES
Ba 137.33 Ba.upf
In 114.82 In.upf
Ga 69.72 Ga.upf
CELL_PARAMETERS angstrom
5.198 0.000 0.000
0.000 5.198 0.000
0.000 0.000 19.427
ATOMIC_POSITIONS angstrom
Ba 0.000 0.000 0.000
Ba 0.000 2.599 4.857
Ba 2.599 0.000 14.570
Ba 2.599 2.599 9.714
In 0.000 0.000 9.714
In 0.000 2.599 14.570
In 2.599 0.000 4.857
In 2.599 2.599 0.000
Ga 0.006 1.300 12.142
Ga 1.300 2.605 16.999
Ga 1.300 5.192 7.285
Ga 2.593 1.300 2.428
Ga 2.605 3.899 2.428
Ga 3.899 0.006 7.285
Ga 3.899 2.593 16.999
Ga 5.192 3.899 12.142
```

Results
The calculation puts the density of states at the Fermi level at 5.46 states/eV per cell. Its crystal system is tetragonal. For the total moment, the calculation gives 0.0 Bohr magnetons per cell. For the formation energy, the calculation gives -0.838 eV/f.u.

***

(8)
This record from Alexandria describes a geometry-optimized BaIn2Ga6 structure. The functional is GGA-PBE. Values from VASP.

Structure (Quantum ESPRESSO input):
```
&SYSTEM
  ibrav = 0, nat = 9, ntyp = 3
/
ATOMIC_SPECIES
Ba 137.33 Ba.upf
In 114.82 In.upf
Ga 69.72 Ga.upf
CELL_PARAMETERS angstrom
7.630 0.000 0.000
-3.815 6.608 0.000
0.000 0.000 4.479
ATOMIC_POSITIONS angstrom
Ba 0.000 0.000 0.000
In 0.000 4.405 0.000
In 3.815 2.203 0.000
Ga -1.299 2.251 2.240
Ga -2.516 4.357 2.240
Ga 2.599 0.000 2.240
Ga 1.299 2.251 2.240
Ga 5.031 0.000 2.240
Ga 2.516 4.357 2.240
```

Results
The calculation puts the density of states at the Fermi level at 2.72 states/eV per cell. Its crystal system is hexagonal. For the total moment, the calculation gives 0.0 Bohr magnetons per cell. For the formation energy, the calculation gives -0.955 eV/f.u.

***

(9)
This record from Alexandria describes a geometry-optimized Ba2In2Ga structure. The functional is GGA-PBE. Values from VASP.

Structure (Quantum ESPRESSO input):
```
&SYSTEM
  ibrav = 0, nat = 10, ntyp = 3
/
ATOMIC_SPECIES
Ba 137.33 Ba.upf
In 114.82 In.upf
Ga 69.72 Ga.upf
CELL_PARAMETERS angstrom
7.837 0.000 0.000
0.000 7.837 0.000
0.000 0.000 5.629
ATOMIC_POSITIONS angstrom
Ba 1.365 2.554 0.000
Ba 2.554 6.473 0.000
Ba 5.283 1.365 0.000
Ba 6.473 5.283 0.000
In 1.070 4.989 2.815
In 2.848 1.070 2.815
In 4.989 6.767 2.815
In 6.767 2.848 2.815
Ga 0.000 0.000 2.815
Ga 3.919 3.919 2.815
```

Results
The calculation puts the density of states at the Fermi level at 8.86 states/eV per cell. The calculation puts the distance to the lowest polymorph of the same formula at 0.70 eV per formula unit. Its crystal system is tetragonal. For the total moment, the calculation gives 0.0 Bohr magnetons per cell. For the formation energy, the calculation gives -1.337 eV/f.u.

***

(10)
This record from Alexandria describes a geometry-optimized BaInGa2 structure. The functional is GGA-PBE. Values from VASP.

Structure (Quantum ESPRESSO input):
```
&SYSTEM
  ibrav = 0, nat = 8, ntyp = 3
/
ATOMIC_SPECIES
Ba 137.33 Ba.upf
In 114.82 In.upf
Ga 69.72 Ga.upf
CELL_PARAMETERS angstrom
3.809 0.000 0.000
0.000 6.978 0.000
0.000 0.000 8.829
ATOMIC_POSITIONS angstrom
Ba 0.000 0.000 0.000
Ba 0.000 3.489 4.414
In 1.905 0.000 3.483
In 1.905 3.489 7.897
Ga 1.905 1.242 6.149
Ga 1.905 2.247 1.734
Ga 1.905 4.731 1.734
Ga 1.905 5.737 6.149
```

Results
The calculation puts the density of states at the Fermi level at 2.04 states/eV per cell. Its crystal system is orthorhombic. For the total moment, the calculation gives 0.0 Bohr magnetons per cell. For the formation energy, the calculation gives -0.817 eV/f.u.

***

(11)
This record from Alexandria describes a geometry-optimized BaInGa4 structure. The functional is GGA-PBE. Values from VASP.

Structure (Quantum ESPRESSO input):
```
&SYSTEM
  ibrav = 0, nat = 24, ntyp = 3
/
ATOMIC_SPECIES
Ba 137.33 Ba.upf
In 114.82 In.upf
Ga 69.72 Ga.upf
CELL_PARAMETERS angstrom
8.406 0.000 0.000
0.000 16.211 0.000
0.000 0.000 4.467
ATOMIC_POSITIONS angstrom
Ba 1.124 2.424 0.000
Ba 3.079 10.529 0.000
Ba 5.327 5.681 0.000
Ba 7.282 13.787 0.000
In 1.217 6.637 0.000
In 2.987 14.743 0.000
In 5.420 1.468 0.000
In 7.190 9.574 0.000
Ga 0.121 11.248 2.233
Ga 0.954 8.888 2.233
Ga 1.123 15.661 2.233
Ga 1.738 13.159 2.233
Ga 2.465 5.053 2.233
Ga 3.080 7.555 2.233
Ga 3.250 0.782 2.233
Ga 4.082 3.143 2.233
Ga 4.324 13.068 2.233
Ga 5.157 15.428 2.233
Ga 5.326 8.656 2.233
Ga 5.942 11.158 2.233
Ga 6.668 3.052 2.233
Ga 7.283 0.550 2.233
Ga 7.453 7.323 2.233
Ga 8.285 4.963 2.233
```

Results
The calculation puts the density of states at the Fermi level at 5.93 states/eV per cell. The calculation puts the distance to the lowest polymorph of the same formula at 0.00 eV per formula unit. Its crystal system is orthorhombic. For the total moment, the calculation gives 0.0 Bohr magnetons per cell. For the formation energy, the calculation gives -1.673 eV/f.u.

***

(12)
This record from Alexandria describes a geometry-optimized BaIn4Ga4 structure. The functional is GGA-PBE. Values from VASP.

Structure (Quantum ESPRESSO input):
```
&SYSTEM
  ibrav = 0, nat = 18, ntyp = 3
/
ATOMIC_SPECIES
Ba 137.33 Ba.upf
In 114.82 In.upf
Ga 69.72 Ga.upf
CELL_PARAMETERS angstrom
6.266 0.000 0.000
0.000 6.266 0.000
0.000 0.000 11.666
ATOMIC_POSITIONS angstrom
Ba 1.566 4.699 2.916
Ba 4.699 1.566 8.749
In 0.040 1.566 0.461
In 1.566 0.040 6.294
In 1.566 3.093 6.294
In 3.093 1.566 0.461
In 3.173 4.699 11.205
In 4.699 3.173 5.372
In 4.699 6.226 5.372
In 6.226 4.699 11.205
Ga 0.217 1.566 3.508
Ga 1.566 0.217 9.341
Ga 1.566 2.916 9.341
Ga 2.916 1.566 3.508
Ga 3.350 4.699 8.158
Ga 4.699 3.350 2.325
Ga 4.699 6.049 2.325
Ga 6.049 4.699 8.158
```

Results
The calculation puts the density of states at the Fermi level at 6.90 states/eV per cell. Its crystal system is tetragonal. For the total moment, the calculation gives 0.0 Bohr magnetons per cell. For the formation energy, the calculation gives -1.526 eV/f.u.